1.
Entry from Alexandria: crystalline LiSc3Pd4 at its relaxed geometry (PBE).

Computed properties:
- Electronic total energy: -0.4441 Ry per atom
- Space-group type: P4/mmm, No. 123
- V: 17.03 A^3/atom
- Formation energy from the elements: -833 meV/atom

abc: 3.266 3.266 12.774
angles: 90.00 90.00 90.00
Positions (direct):
Sc 0.500 0.500 0.233
Sc 0.500 0.500 0.500
Li 0.500 0.500 0.000
Sc 0.500 0.500 0.767
Pd 0.000 0.000 0.887
Pd 0.000 0.000 0.632
Pd 0.000 0.000 0.113
Pd 0.000 0.000 0.368

2.
Entry from Alexandria: crystalline AsOsBr2 at its relaxed geometry (PBE).

Computed properties:
- Electronic total energy: -0.3311 Ry per atom
- Space-group type: Pm, No. 6
- V: 26.92 A^3/atom
- Formation energy without anion corrections: 0.30 eV per atom

abc: 3.221 4.353 7.957
angles: 74.81 90.00 90.00
Positions (direct):
Os 0.000 0.350 0.604
Br 0.500 0.367 0.331
Br 0.000 0.062 0.914
As 0.500 0.721 0.651

no.,M_tot (μB/f.u.)
1,0.000
2,0.000